No. 1
# RbGaBr4

A geometry-optimized RbGaBr4 structure (PBE-GGA, Alexandria).

Unit cell a=7.621 b=10.582 c=11.814 alpha=90.00 beta=90.00 gamma=90.00
Atoms (fractional coordinates):
Rb (0.250, 0.715, 0.196)
Rb (0.750, 0.285, 0.804)
Rb (0.750, 0.215, 0.304)
Rb (0.250, 0.785, 0.696)
Ga (0.250, 0.187, 0.057)
Ga (0.750, 0.813, 0.943)
Ga (0.750, 0.687, 0.443)
Ga (0.250, 0.313, 0.557)
Br (0.250, 0.428, 0.387)
Br (0.750, 0.572, 0.613)
Br (0.750, 0.928, 0.113)
Br (0.250, 0.072, 0.887)
Br (0.250, 0.061, 0.221)
Br (0.750, 0.939, 0.779)
Br (0.750, 0.561, 0.279)
Br (0.250, 0.439, 0.721)
Br (0.000, 0.322, 0.062)
Br (0.000, 0.678, 0.938)
Br (0.000, 0.822, 0.438)
Br (0.500, 0.678, 0.938)
Br (0.000, 0.178, 0.562)
Br (0.500, 0.322, 0.062)
Br (0.500, 0.178, 0.562)
Br (0.500, 0.822, 0.438)

Output
E_form (uncorrected) ... -1.201 eV/atom
E_tot ... -17.9 eV per formula unit
Symmetry ... Pnma, No. 62

---

No. 2
# Ba6MgTl5

A geometry-optimized Ba6MgTl5 structure (PBE-GGA, Alexandria).

Unit cell a=6.068 b=8.652 c=10.528 alpha=114.26 beta=106.73 gamma=90.00
Atoms (fractional coordinates):
Mg (0.000, 0.000, 0.000)
Ba (0.832, 0.580, 0.663)
Ba (0.832, 0.083, 0.663)
Ba (0.500, 0.746, 0.000)
Ba (0.500, 0.254, 0.000)
Ba (0.168, 0.917, 0.337)
Ba (0.168, 0.420, 0.337)
Tl (0.662, 0.162, 0.324)
Tl (0.334, 0.334, 0.668)
Tl (0.000, 0.500, 0.000)
Tl (0.666, 0.666, 0.332)
Tl (0.338, 0.838, 0.676)

Output
E_tot ... -29.2 eV per formula unit
Energy of formation from the pure elements ... -0.35 eV per atom
Symmetry ... Immm, No. 71

---

No. 3
# Cd2CuAs

A geometry-optimized Cd2CuAs structure (PBE-GGA, Alexandria).

Unit cell a=5.901 b=5.901 c=5.901 alpha=151.40 beta=127.32 gamma=61.04
Atoms (fractional coordinates):
As (0.250, 0.750, 0.500)
Cd (0.978, 0.978, 0.000)
Cd (0.522, 0.522, 0.000)
Cu (0.750, 0.250, 0.500)

Output
E_tot ... -9.8 eV per formula unit
Energy of formation from the pure elements ... 0.21 eV per atom
Symmetry ... Immm, No. 71

---

No. 4
# LiTmLuAl

A geometry-optimized LiTmLuAl structure (PBE-GGA, Alexandria).

Unit cell a=5.062 b=5.062 c=5.062 alpha=60.00 beta=60.00 gamma=60.00
Atoms (fractional coordinates):
Lu (0.750, 0.750, 0.750)
Tm (0.250, 0.250, 0.250)
Al (0.500, 0.500, 0.500)
Li (0.000, 0.000, 0.000)

Output
E_tot ... -15.5 eV per formula unit
Energy of formation from the pure elements ... -0.20 eV per atom
Symmetry ... F-43m, No. 216

---

No. 5
# CaY2HoTe4

A geometry-optimized CaY2HoTe4 structure (PBE-GGA, Alexandria).

Unit cell a=4.362 b=7.598 c=7.615 alpha=109.07 beta=90.00 gamma=90.00
Atoms (fractional coordinates):
Ca (0.000, 0.000, 0.000)
Y (0.500, 0.000, 0.500)
Y (0.000, 0.500, 0.500)
Ho (0.500, 0.500, 0.000)
Te (0.500, 0.253, 0.251)
Te (0.500, 0.747, 0.749)
Te (0.000, 0.252, 0.751)
Te (0.000, 0.748, 0.249)

Output
E_form (uncorrected) ... -1.370 eV/atom
E_tot ... -43.0 eV per formula unit
Symmetry ... P2/m, No. 10

---

No. 6
# Cd3Mo5

A geometry-optimized Cd3Mo5 structure (PBE-GGA, Alexandria).

Unit cell a=8.429 b=8.429 c=4.794 alpha=90.00 beta=90.00 gamma=60.00
Atoms (fractional coordinates):
Mo (0.819, 0.181, 0.250)
Mo (0.181, 0.819, 0.750)
Mo (0.181, 0.000, 0.250)
Mo (0.000, 0.181, 0.750)
Mo (0.667, 0.667, 0.000)
Mo (0.667, 0.667, 0.500)
Mo (0.333, 0.333, 0.000)
Mo (0.333, 0.333, 0.500)
Mo (0.819, 0.000, 0.750)
Mo (0.000, 0.819, 0.250)
Cd (0.599, 0.401, 0.750)
Cd (0.401, 0.599, 0.250)
Cd (0.401, 0.000, 0.750)
Cd (0.000, 0.401, 0.250)
Cd (0.599, 0.000, 0.250)
Cd (0.000, 0.599, 0.750)

Output
E_tot ... -51.8 eV per formula unit
Relative energy among the computed polymorphs ... 0.089 eV/atom
Energy of formation from the pure elements ... 0.64 eV per atom
Symmetry ... P6_3/mcm, No. 193

---

No. 7
# Zr2Sc

A geometry-optimized Zr2Sc structure (PBE-GGA, Alexandria).

Unit cell a=5.082 b=3.196 c=8.676 alpha=90.00 beta=90.00 gamma=90.00
Atoms (fractional coordinates):
Zr (0.000, 0.000, 0.803)
Zr (0.500, 0.000, 0.336)
Zr (0.000, 0.000, 0.153)
Zr (0.000, 0.500, 0.470)
Sc (0.500, 0.500, 0.003)
Sc (0.500, 0.500, 0.654)

Output
E_tot ... -23.4 eV per formula unit
Energy of formation from the pure elements ... 0.00 eV per atom
Symmetry ... Pmm2, No. 25

---

No. 8
# Np2AgBi4

A geometry-optimized Np2AgBi4 structure (PBE-GGA, Alexandria).

Unit cell a=4.572 b=4.572 c=9.767 alpha=90.00 beta=90.00 gamma=90.00
Atoms (fractional coordinates):
Np (0.500, 0.000, 0.760)
Np (0.000, 0.500, 0.240)
Ag (0.500, 0.500, 0.000)
Bi (0.500, 0.000, 0.179)
Bi (0.000, 0.500, 0.821)
Bi (0.500, 0.500, 0.500)
Bi (0.000, 0.000, 0.500)

Output
E_tot ... -44.0 eV per formula unit
Energy of formation from the pure elements ... 0.04 eV per atom
Symmetry ... P-4m2, No. 115

---

No. 9
# Ba6RhCl2

A geometry-optimized Ba6RhCl2 structure (PBE-GGA, Alexandria).

Unit cell a=7.532 b=8.256 c=13.576 alpha=90.03 beta=90.00 gamma=90.00
Atoms (fractional coordinates):
Ba (0.226, 0.163, 0.664)
Ba (0.225, 0.163, 0.335)
Ba (0.246, 0.206, 0.000)
Ba (0.746, 0.294, 0.500)
Ba (0.725, 0.337, 0.165)
Ba (0.726, 0.337, 0.836)
Ba (0.774, 0.837, 0.336)
Ba (0.775, 0.837, 0.665)
Ba (0.754, 0.794, 0.000)
Ba (0.254, 0.706, 0.500)
Ba (0.275, 0.663, 0.835)
Ba (0.274, 0.663, 0.164)
Rh (0.500, 0.500, 0.000)
Rh (0.000, 0.000, 0.500)
Cl (0.499, 0.000, 0.152)
Cl (0.999, 0.500, 0.348)
Cl (0.001, 0.500, 0.652)
Cl (0.501, 0.000, 0.848)

Output
E_form (uncorrected) ... -0.867 eV/atom
E_tot ... -30.4 eV per formula unit
Symmetry ... Pnnm, No. 58

---

No. 10
# KSc3Be

A geometry-optimized KSc3Be structure (PBE-GGA, Alexandria).

Unit cell a=5.135 b=5.135 c=5.135 alpha=90.00 beta=90.00 gamma=90.00
Atoms (fractional coordinates):
Sc (0.000, 0.500, 0.000)
Sc (0.000, 0.000, 0.500)
Sc (0.500, 0.000, 0.000)
Be (0.000, 0.000, 0.000)
K (0.500, 0.500, 0.500)

Output
E_tot ... -21.2 eV per formula unit
Relative energy among the computed polymorphs ... 0.000 eV/atom
Energy of formation from the pure elements ... 0.53 eV per atom
Symmetry ... Pm-3m, No. 221

---

No. 11
# Tb3Tm6Pu

A geometry-optimized Tb3Tm6Pu structure (PBE-GGA, Alexandria).

Unit cell a=9.266 b=9.243 c=6.050 alpha=109.14 beta=139.87 gamma=64.63
Atoms (fractional coordinates):
Tb (0.993, 0.203, 0.594)
Tb (0.007, 0.797, 0.406)
Tb (0.000, 0.000, 0.000)
Tm (0.498, 0.303, 0.403)
Tm (0.999, 0.598, 0.793)
Tm (0.502, 0.697, 0.597)
Tm (0.001, 0.402, 0.207)
Tm (0.499, 0.103, 0.802)
Tm (0.501, 0.897, 0.198)
Pu (0.500, 0.500, 0.000)

Output
E_tot ... -54.6 eV per formula unit
Relative energy among the computed polymorphs ... 0.000 eV/atom
Energy of formation from the pure elements ... 0.04 eV per atom
Symmetry ... P-1, No. 2

---

No. 12
# Sr2LiTiH

A geometry-optimized Sr2LiTiH structure (PBE-GGA, Alexandria).

Unit cell a=6.380 b=3.486 c=6.380 alpha=90.00 beta=90.00 gamma=90.00
Atoms (fractional coordinates):
Sr (0.000, 0.000, 0.500)
Sr (0.500, 0.000, 0.000)
Li (0.000, 0.000, 0.000)
H (0.000, 0.500, 0.000)
Ti (0.500, 0.500, 0.500)

Output
E_tot ... -13.8 eV per formula unit
Symmetry ... P4/mmm, No. 123